Entry 1:
Computed, not measured: a relaxed structure of LiCaTlAg at the PBE level of DFT.

The structure belongs to space group I-4m2 (No. 119); the cell edges are 4.663, 4.663 and 8.640 Å and the angles 90.00°, 90.00° and 90.00°. The asymmetric unit holds Li at (0.000, 0.000, 0.000), Ca at (0.000, 0.000, 0.500), Tl at (0.000, 0.500, 0.750) and Ag at (0.000, 0.500, 0.250).

The volume is 187.87 Å³/cell. The value obtained for the energy relative to the lowest polymorph listed for this composition is 34 meV/atom. The crystal system is tetragonal. The total magnetization is 0.000 μB per atom.

=====

Entry 2:
Computed, not measured: a relaxed structure of La2Nd7SmCd2 at the PBE level of DFT.

The structure belongs to space group C2/m (No. 12); the cell edges are 10.312, 7.022 and 11.210 Å and the angles 90.00°, 90.08° and 90.00°. The asymmetric unit holds La at (0.000, 0.000, 0.150), Nd at (0.000, 0.000, 0.500), Nd at (0.192, 0.500, 0.001), Nd at (0.250, 0.250, 0.330), Sm at (0.000, 0.500, 0.500) and Cd at (0.001, 0.500, 0.775).

The volume is 811.69 Å³/cell. The crystal system is monoclinic. As for the final energy: -4.152 eV per atom. The total magnetization is 0.000 μB per atom.